# HfPAu3 PBE optimized geometry
data_HfPAu3
_chemical_formula_sum 'Hf1 P1 Au3'
_space_group_name_H-M_alt 'P 1'
_space_group_IT_number 1
_cell_length_a 4.6865
_cell_length_b 4.6865
_cell_length_c 4.6865
_cell_angle_alpha 90.00
_cell_angle_beta 90.00
_cell_angle_gamma 90.00
loop_
_space_group_symop_operation_xyz
'x,y,z'
loop_
_atom_site_label
_atom_site_type_symbol
_atom_site_fract_x
_atom_site_fract_y
_atom_site_fract_z
_atom_site_occupancy
Hf1 Hf 0.0000 0.0000 0.0000 1
P1 P 0.5000 0.5000 0.5000 1
Au1 Au 0.0000 0.5000 0.5000 1
Au2 Au 0.5000 0.0000 0.5000 1
Au3 Au 0.5000 0.5000 0.0000 1
# E above lowest polymorph in meV/atom: 0.0
# N(E_F) in states/eV per atom: 0.914
# ΔH_f (0 K) in eV/atom: 0.37
# DFT total energy in eV/atom: -4.670



# YHo2ErSc2 PBE optimized geometry
data_YHo2ErSc2
_chemical_formula_sum 'Y2 Ho4 Er2 Sc4'
_space_group_name_H-M_alt 'P 1'
_space_group_IT_number 1
_cell_length_a 6.8561
_cell_length_b 9.3512
_cell_length_c 5.4202
_cell_angle_alpha 90.00
_cell_angle_beta 90.00
_cell_angle_gamma 90.00
loop_
_space_group_symop_operation_xyz
'x,y,z'
loop_
_atom_site_label
_atom_site_type_symbol
_atom_site_fract_x
_atom_site_fract_y
_atom_site_fract_z
_atom_site_occupancy
Y1 Y 0.0000 0.0000 0.0000 1
Y2 Y 0.5000 0.5000 0.5000 1
Ho1 Ho 0.2491 0.3337 0.0000 1
Ho2 Ho 0.2509 0.8337 0.5000 1
Ho3 Ho 0.7491 0.1663 0.5000 1
Ho4 Ho 0.7509 0.6663 0.0000 1
Er1 Er 0.0000 0.5000 0.5000 1
Er2 Er 0.5000 0.0000 0.0000 1
Sc1 Sc 0.2502 0.1671 0.5000 1
Sc2 Sc 0.2498 0.6671 0.0000 1
Sc3 Sc 0.7502 0.3329 0.0000 1
Sc4 Sc 0.7498 0.8329 0.5000 1
# N(E_F) in states/eV per atom: 2.075
# ΔH_f (0 K) in eV/atom: 0.07
# DFT total energy in eV/atom: -5.403



# Li8ZnPb6 PBE optimized geometry
data_Li8ZnPb6
_chemical_formula_sum 'Li8 Zn1 Pb6'
_space_group_name_H-M_alt 'P 1'
_space_group_IT_number 1
_cell_length_a 7.3057
_cell_length_b 7.3057
_cell_length_c 7.3057
_cell_angle_alpha 69.91
_cell_angle_beta 69.91
_cell_angle_gamma 69.91
loop_
_space_group_symop_operation_xyz
'x,y,z'
loop_
_atom_site_label
_atom_site_type_symbol
_atom_site_fract_x
_atom_site_fract_y
_atom_site_fract_z
_atom_site_occupancy
Li1 Li 0.1342 0.6320 0.4418 1
Li2 Li 0.2383 0.2383 0.2383 1
Li3 Li 0.3680 0.5582 0.8658 1
Li4 Li 0.4418 0.1342 0.6320 1
Li5 Li 0.5582 0.8658 0.3680 1
Li6 Li 0.6320 0.4418 0.1342 1
Li7 Li 0.7617 0.7617 0.7617 1
Li8 Li 0.8658 0.3680 0.5582 1
Zn1 Zn 0.5000 0.5000 0.5000 1
Pb1 Pb 0.0684 0.3426 0.8589 1
Pb2 Pb 0.1411 0.9316 0.6574 1
Pb3 Pb 0.3426 0.8589 0.0684 1
Pb4 Pb 0.6574 0.1411 0.9316 1
Pb5 Pb 0.8589 0.0684 0.3426 1
Pb6 Pb 0.9316 0.6574 0.1411 1
# N(E_F) in states/eV per atom: 0.301
# ΔH_f (0 K) in eV/atom: -0.16
# DFT total energy in eV/atom: -2.748



# La2TbSn PBE optimized geometry
data_La2TbSn
_chemical_formula_sum 'La2 Tb1 Sn1'
_space_group_name_H-M_alt 'P 1'
_space_group_IT_number 1
_cell_length_a 5.6284
_cell_length_b 5.6284
_cell_length_c 5.6284
_cell_angle_alpha 60.00
_cell_angle_beta 60.00
_cell_angle_gamma 60.00
loop_
_space_group_symop_operation_xyz
'x,y,z'
loop_
_atom_site_label
_atom_site_type_symbol
_atom_site_fract_x
_atom_site_fract_y
_atom_site_fract_z
_atom_site_occupancy
La1 La 0.2500 0.2500 0.2500 1
La2 La 0.7500 0.7500 0.7500 1
Tb1 Tb 0.0000 0.0000 0.0000 1
Sn1 Sn 0.5000 0.5000 0.5000 1
# E above lowest polymorph in meV/atom: 183.2
# N(E_F) in states/eV per atom: 1.618
# ΔH_f (0 K) in eV/atom: -0.28
# DFT total energy in eV/atom: -4.898



# Ca2InGeAu6 PBE optimized geometry
data_Ca2InGeAu6
_chemical_formula_sum 'Ca2 In1 Ge1 Au6'
_space_group_name_H-M_alt 'P 1'
_space_group_IT_number 1
_cell_length_a 7.1680
_cell_length_b 7.1680
_cell_length_c 7.1680
_cell_angle_alpha 60.00
_cell_angle_beta 60.00
_cell_angle_gamma 60.00
loop_
_space_group_symop_operation_xyz
'x,y,z'
loop_
_atom_site_label
_atom_site_type_symbol
_atom_site_fract_x
_atom_site_fract_y
_atom_site_fract_z
_atom_site_occupancy
Ca1 Ca 0.2500 0.2500 0.2500 1
Ca2 Ca 0.7500 0.7500 0.7500 1
In1 In 0.0000 0.0000 0.0000 1
Ge1 Ge 0.5000 0.5000 0.5000 1
Au1 Au 0.2582 0.2582 0.7418 1
Au2 Au 0.2582 0.7418 0.2582 1
Au3 Au 0.2582 0.7418 0.7418 1
Au4 Au 0.7418 0.2582 0.2582 1
Au5 Au 0.7418 0.2582 0.7418 1
Au6 Au 0.7418 0.7418 0.2582 1
# N(E_F) in states/eV per atom: 0.287
# ΔH_f (0 K) in eV/atom: -0.19
# DFT total energy in eV/atom: -3.289



# V2PH PBE optimized geometry
data_V2PH
_chemical_formula_sum 'V4 P2 H2'
_space_group_name_H-M_alt 'P 1'
_space_group_IT_number 1
_cell_length_a 4.7812
_cell_length_b 4.7812
_cell_length_c 4.7812
_cell_angle_alpha 109.23
_cell_angle_beta 109.23
_cell_angle_gamma 109.96
loop_
_space_group_symop_operation_xyz
'x,y,z'
loop_
_atom_site_label
_atom_site_type_symbol
_atom_site_fract_x
_atom_site_fract_y
_atom_site_fract_z
_atom_site_occupancy
V1 V 0.0437 0.1250 0.4187 1
V2 V 0.3750 0.9563 0.0813 1
V3 V 0.7063 0.6250 0.5813 1
V4 V 0.8750 0.2937 0.9187 1
P1 P 0.2500 0.7500 0.5000 1
P2 P 0.5000 0.5000 0.0000 1
H1 H 0.0000 0.0000 0.0000 1
H2 H 0.7500 0.2500 0.5000 1
# E above lowest polymorph in meV/atom: 157.7
# N(E_F) in states/eV per atom: 0.729
# DFT total energy in eV/atom: -7.112



# HfScHgOs PBE optimized geometry
data_HfScHgOs
_chemical_formula_sum 'Hf1 Sc1 Hg1 Os1'
_space_group_name_H-M_alt 'P 1'
_space_group_IT_number 1
_cell_length_a 4.7517
_cell_length_b 4.7517
_cell_length_c 4.7517
_cell_angle_alpha 60.00
_cell_angle_beta 60.00
_cell_angle_gamma 60.00
loop_
_space_group_symop_operation_xyz
'x,y,z'
loop_
_atom_site_label
_atom_site_type_symbol
_atom_site_fract_x
_atom_site_fract_y
_atom_site_fract_z
_atom_site_occupancy
Hf1 Hf 0.0000 0.0000 0.0000 1
Sc1 Sc 0.5000 0.5000 0.5000 1
Hg1 Hg 0.7500 0.7500 0.7500 1
Os1 Os 0.2500 0.2500 0.2500 1
# N(E_F) in states/eV per atom: 0.827
# ΔH_f (0 K) in eV/atom: -0.28
# DFT total energy in eV/atom: -7.233



# BeHgSe3 PBE optimized geometry
data_BeHgSe3
_chemical_formula_sum 'Be1 Hg1 Se3'
_space_group_name_H-M_alt 'P 1'
_space_group_IT_number 1
_cell_length_a 4.6937
_cell_length_b 4.6937
_cell_length_c 4.6937
_cell_angle_alpha 90.00
_cell_angle_beta 90.00
_cell_angle_gamma 90.00
loop_
_space_group_symop_operation_xyz
'x,y,z'
loop_
_atom_site_label
_atom_site_type_symbol
_atom_site_fract_x
_atom_site_fract_y
_atom_site_fract_z
_atom_site_occupancy
Be1 Be 0.0000 0.0000 0.0000 1
Hg1 Hg 0.5000 0.5000 0.5000 1
Se1 Se 0.0000 0.0000 0.5000 1
Se2 Se 0.0000 0.5000 0.0000 1
Se3 Se 0.5000 0.0000 0.0000 1
# E above lowest polymorph in meV/atom: 0.0
# N(E_F) in states/eV per atom: 1.015
# Uncorrected formation energy in eV/atom: 0.326
# DFT total energy in eV/atom: -2.571